No. 1
RbHgGe2: optimized geometry, PBE.

a = 5.2513 Å, b = 5.2513 Å, c = 10.6142 Å
α = 75.68°, β = 75.68°, γ = 90.00°
Element x y z (fractional)
Ge: 0.8744 0.6250 0.2500
Ge: 0.8756 0.1250 0.2500
Ge: 0.3750 0.1244 0.7500
Ge: 0.8750 0.1256 0.7500
Hg: 0.0000 0.0000 0.0000
Hg: 0.7500 0.2500 0.5000
Rb: 0.5000 0.5000 0.0000
Rb: 0.2500 0.7500 0.5000

Space-group type = I4_1/amd (141)

No. 2
Rb2Hg2Ge: optimized geometry, PBE.

a = 7.7240 Å, b = 7.7240 Å, c = 5.8557 Å
α = 90.00°, β = 90.00°, γ = 90.00°
Element x y z (fractional)
Rb: 0.1757 0.6757 0.5000
Rb: 0.3243 0.1757 0.5000
Rb: 0.8243 0.3243 0.5000
Rb: 0.6757 0.8243 0.5000
Ge: 0.0000 0.0000 0.0000
Ge: 0.5000 0.5000 0.0000
Hg: 0.6477 0.1477 0.0000
Hg: 0.8523 0.6477 0.0000
Hg: 0.1477 0.3523 0.0000
Hg: 0.3523 0.8523 0.0000

Space-group type = P4/mbm (127)

No. 3
Rb2Hg4Ge: optimized geometry, PBE.

a = 5.4411 Å, b = 5.4411 Å, c = 10.2063 Å
α = 105.46°, β = 105.46°, γ = 90.00°
Element x y z (fractional)
Hg: 0.5000 0.0000 0.0000
Hg: 0.0000 0.5000 0.0000
Hg: 0.8362 0.8362 0.6723
Hg: 0.1638 0.1638 0.3277
Rb: 0.6427 0.6427 0.2853
Rb: 0.3573 0.3573 0.7147
Ge: 0.0000 0.0000 0.0000

Space-group type = I4/mmm (139)

No. 4
RbHgGe: optimized geometry, PBE.

a = 5.6606 Å, b = 4.6462 Å, c = 4.6462 Å
α = 120.00°, β = 90.00°, γ = 90.00°
Element x y z (fractional)
Hg: 0.1663 0.3333 0.6667
Ge: 0.1673 0.0000 0.0000
Rb: 0.6664 0.6667 0.3333

Energy relative to the lowest polymorph listed for this composition = 89 meV/atom
Space-group type = P3m1 (156)

No. 5
Rb2HgGe2: optimized geometry, PBE.

a = 3.8493 Å, b = 3.8493 Å, c = 12.0383 Å
α = 80.80°, β = 80.80°, γ = 90.00°
Element x y z (fractional)
Hg: 0.0000 0.0000 0.0000
Rb: 0.6155 0.6155 0.7691
Rb: 0.3845 0.3845 0.2309
Ge: 0.7500 0.2500 0.5000
Ge: 0.2500 0.7500 0.5000

Energy relative to the lowest polymorph listed for this composition = 52 meV/atom
Space-group type = I4/mmm (139)

No. 6
RbHg2Ge: optimized geometry, PBE.

a = 4.9030 Å, b = 4.9030 Å, c = 6.9790 Å
α = 69.44°, β = 69.44°, γ = 60.00°
Element x y z (fractional)
Ge: 0.0000 0.0000 0.0000
Rb: 0.5000 0.5000 0.5000
Hg: 0.2917 0.2917 0.1249
Hg: 0.7083 0.7083 0.8751

Space-group type = R-3m (166)

No. 7
RbHgGe: optimized geometry, PBE.

a = 8.6623 Å, b = 4.2022 Å, c = 13.2182 Å
α = 90.00°, β = 124.92°, γ = 90.00°
Element x y z (fractional)
Rb: 0.9474 0.5000 0.8980
Rb: 0.2319 0.0000 0.2499
Rb: 0.2319 0.5000 0.7499
Rb: 0.9474 0.0000 0.3980
Hg: 0.6247 0.0000 0.9301
Hg: 0.8090 0.5000 0.1343
Hg: 0.8090 0.0000 0.6343
Hg: 0.6247 0.5000 0.4301
Ge: 0.4094 0.0000 0.0381
Ge: 0.5273 0.0000 0.6778
Ge: 0.5273 0.5000 0.1778
Ge: 0.4094 0.5000 0.5381

Energy relative to the lowest polymorph listed for this composition = 0 meV/atom
Space-group type = Cm (8)

No. 8
RbHgGe: optimized geometry, PBE.

a = 5.6214 Å, b = 4.7446 Å, c = 8.0580 Å
α = 90.00°, β = 92.04°, γ = 90.00°
Element x y z (fractional)
Rb: 0.0000 0.0000 0.0000
Rb: 0.0000 0.5000 0.5000
Ge: 0.4426 0.5000 0.8545
Ge: 0.5574 0.5000 0.1455
Hg: 0.4934 0.0000 0.6854
Hg: 0.5066 0.0000 0.3146

Energy relative to the lowest polymorph listed for this composition = 22 meV/atom
Space-group type = P2/m (10)

Record-wise energy values, in eV per atom: -2.511 -1.484 -1.172 -2.011 -2.251 -1.588 -2.100 -2.078